Below is crystalline Cs2GdHoO4 at its relaxed geometry, with properties calculated at the PBE-GGA level.

a = 3.538 Å, b = 3.538 Å, c = 13.561 Å
α = 90.00°, β = 90.00°, γ = 120.00°
Fractional coordinates of all 8 atoms:
Cs: 0.333 0.667 0.250
Cs: 0.667 0.333 0.750
Gd: 0.000 0.000 0.500
Ho: 0.000 0.000 0.000
O: 0.333 0.667 0.585
O: 0.333 0.667 0.918
O: 0.667 0.333 0.082
O: 0.667 0.333 0.415

The value obtained for the magnetic moment is 0.002 μB/cell. As for the calculated total energy: -6.46 eV per atom.